! PBE-GGA ThPaPdPt, optimized geometry; values from VASP
! Space group: F-43m
! Calculated formation energy (eV per atom): -0.6618
! D(E_F) (states/eV/f.u.): 6.91
&SYSTEM
  ibrav = 0, nat = 16, ntyp = 4
/
ATOMIC_SPECIES
Th 232.04 Th.upf
Pa 231.04 Pa.upf
Pd 106.42 Pd.upf
Pt 195.08 Pt.upf
CELL_PARAMETERS angstrom
7.139 0.000 0.000
0.000 7.139 0.000
0.000 0.000 7.139
ATOMIC_POSITIONS angstrom
Th 0.000 0.000 0.000
Th 0.000 3.570 3.570
Th 3.570 0.000 3.570
Th 3.570 3.570 0.000
Pa 0.000 0.000 3.570
Pa 0.000 3.570 0.000
Pa 3.570 0.000 0.000
Pa 3.570 3.570 3.570
Pd 1.785 1.785 5.354
Pd 1.785 5.354 1.785
Pd 5.354 1.785 1.785
Pd 5.354 5.354 5.354
Pt 1.785 1.785 1.785
Pt 1.785 5.354 5.354
Pt 5.354 1.785 5.354
Pt 5.354 5.354 1.785



! PBE-GGA PaTlPdPt, optimized geometry; values from VASP
! Space group: F-43m
! Calculated formation energy (eV per atom): -0.5070
! D(E_F) (states/eV/f.u.): 5.35
&SYSTEM
  ibrav = 0, nat = 16, ntyp = 4
/
ATOMIC_SPECIES
Pa 231.04 Pa.upf
Tl 204.38 Tl.upf
Pd 106.42 Pd.upf
Pt 195.08 Pt.upf
CELL_PARAMETERS angstrom
6.914 0.000 0.000
0.000 6.914 0.000
0.000 0.000 6.914
ATOMIC_POSITIONS angstrom
Pa 0.000 0.000 0.000
Pa 0.000 3.457 3.457
Pa 3.457 0.000 3.457
Pa 3.457 3.457 0.000
Tl 0.000 0.000 3.457
Tl 0.000 3.457 0.000
Tl 3.457 0.000 0.000
Tl 3.457 3.457 3.457
Pd 1.729 1.729 5.186
Pd 1.729 5.186 1.729
Pd 5.186 1.729 1.729
Pd 5.186 5.186 5.186
Pt 1.729 1.729 1.729
Pt 1.729 5.186 5.186
Pt 5.186 1.729 5.186
Pt 5.186 5.186 1.729



! PBE-GGA TmPaPdPt, optimized geometry; values from VASP
! Space group: F-43m
! Calculated formation energy (eV per atom): -0.7919
! D(E_F) (states/eV/f.u.): 5.85
&SYSTEM
  ibrav = 0, nat = 16, ntyp = 4
/
ATOMIC_SPECIES
Tm 168.93 Tm.upf
Pa 231.04 Pa.upf
Pd 106.42 Pd.upf
Pt 195.08 Pt.upf
CELL_PARAMETERS angstrom
6.990 0.000 0.000
0.000 6.990 0.000
0.000 0.000 6.990
ATOMIC_POSITIONS angstrom
Tm 0.000 0.000 0.000
Tm 0.000 3.495 3.495
Tm 3.495 0.000 3.495
Tm 3.495 3.495 0.000
Pa 0.000 0.000 3.495
Pa 0.000 3.495 0.000
Pa 3.495 0.000 0.000
Pa 3.495 3.495 3.495
Pd 1.747 1.747 1.747
Pd 1.747 5.242 5.242
Pd 5.242 1.747 5.242
Pd 5.242 5.242 1.747
Pt 1.747 1.747 5.242
Pt 1.747 5.242 1.747
Pt 5.242 1.747 1.747
Pt 5.242 5.242 5.242